1.
Material: CaErNi
Method: DFT, PBE
State: relaxed

Unit cell a=3.4293 b=3.4293 c=12.7404 alpha=90.00 beta=90.00 gamma=90.00
With the nearest neighbours (Å) after each atom.
Space group I4mm (No. 107)
Symmetry-distinct sites (fractional):
Ca1 0.0000 0.0000 0.0000 (multiplicity 2)  4 Ni 3.08, 1 Er 3.27, 4 Ca 3.43
Er1 0.0000 0.0000 0.2570 (multiplicity 2)  4 Ni 2.79
Ni1 0.0000 0.0000 0.6485 (multiplicity 2)  4 Er 2.79, 4 Ca 3.08

Results
Energy above the lowest structure with this stoichiometry: 0.0 meV per atom
Formation energy from the elements: -0.172 eV per atom

2.
Material: Li6SbO4
Method: DFT, PBE
State: relaxed

Unit cell a=5.7077 b=5.7077 c=7.2064 alpha=90.00 beta=90.00 gamma=90.00
With the nearest neighbours (Å) after each atom.
Space group I-42m (No. 121)
Symmetry-distinct sites (fractional):
Li1 0.0000 0.5000 0.0000 (multiplicity 4)  4 O 2.14
Li2 0.1468 0.1468 0.3411 (multiplicity 8)  2 O 1.95-2.03
Sb1 0.0000 0.0000 0.0000 (multiplicity 2)  4 O 2.29
O1 0.2290 0.2290 0.5959 (multiplicity 8)  4 Li 1.95-2.14

Results
Raw formation energy: -1.45 eV per atom

| no. | M_tot (μB per atom) | V (Å³ per cell) |
| --- | --- | --- |
| 1 | 0.000 | 149.8 |
| 2 | 0.079 | 234.8 |